# PBE AlGa3Au2, optimized geometry
# Raw total energy (eV/atom): -3.50
# Calculated volume (Å³/f.u.): 116.73
data_AlGa3Au2
_chemical_formula_sum 'Al1 Ga3 Au2'
_space_group_name_H-M_alt 'P -4 m 2'
_space_group_IT_number 115
_cell_length_a 4.3568
_cell_length_b 4.3568
_cell_length_c 6.1497
_cell_angle_alpha 90.00
_cell_angle_beta 90.00
_cell_angle_gamma 90.00
loop_
_space_group_symop_operation_xyz
'x,y,z'
'y,-x,-z'
'-x,-y,z'
'-y,x,-z'
'-x,y,z'
'-y,-x,-z'
'x,-y,z'
'y,x,-z'
loop_
_atom_site_label
_atom_site_type_symbol
_atom_site_fract_x
_atom_site_fract_y
_atom_site_fract_z
Al1 Al 0.0000 0.0000 0.0000
Ga1 Ga 0.0000 0.0000 0.5000
Ga2 Ga 0.5000 0.5000 0.0000
Ga3 Ga 0.5000 0.5000 0.5000
Au1 Au 0.0000 0.5000 0.7595

=====

# PBE Y3TmPb2N2, optimized geometry
# M_tot (μB per cell): 0.01
# Raw total energy (eV/atom): -7.10
# Calculated volume (Å³/f.u.): 169.04
data_Y3TmPb2N2
_chemical_formula_sum 'Y3 Tm1 Pb2 N2'
_space_group_name_H-M_alt 'P 3 m 1'
_space_group_IT_number 156
_cell_length_a 3.5450
_cell_length_b 3.5450
_cell_length_c 15.5316
_cell_angle_alpha 90.00
_cell_angle_beta 90.00
_cell_angle_gamma 120.00
loop_
_space_group_symop_operation_xyz
'x,y,z'
'-y,x-y,z'
'-x+y,-x,z'
'-y,-x,z'
'-x+y,y,z'
'x,x-y,z'
loop_
_atom_site_label
_atom_site_type_symbol
_atom_site_fract_x
_atom_site_fract_y
_atom_site_fract_z
Y1 Y 0.0000 0.0000 0.0000
Y2 Y 0.0000 0.0000 0.3332
Y3 Y 0.3333 0.6667 0.5015
Tm1 Tm 0.3333 0.6667 0.8345
Pb1 Pb 0.0000 0.0000 0.6693
Pb2 Pb 0.3333 0.6667 0.1662
N1 N 0.6667 0.3333 0.4173
N2 N 0.6667 0.3333 0.9123

=====

# PBE DyYBr2O, optimized geometry
# M_tot (μB per cell): 0.00
# Raw total energy (eV/atom): -5.96
# Calculated volume (Å³/f.u.): 118.23
data_DyYBr2O
_chemical_formula_sum 'Dy1 Y1 Br2 O1'
_space_group_name_H-M_alt 'P 3 m 1'
_space_group_IT_number 156
_cell_length_a 3.6681
_cell_length_b 3.6681
_cell_length_c 10.1461
_cell_angle_alpha 90.00
_cell_angle_beta 90.00
_cell_angle_gamma 120.00
loop_
_space_group_symop_operation_xyz
'x,y,z'
'-y,x-y,z'
'-x+y,-x,z'
'-y,-x,z'
'-x+y,y,z'
'x,x-y,z'
loop_
_atom_site_label
_atom_site_type_symbol
_atom_site_fract_x
_atom_site_fract_y
_atom_site_fract_z
Dy1 Dy 0.0000 0.0000 0.0000
Y1 Y 0.6667 0.3333 0.7566
Br1 Br 0.0000 0.0000 0.5649
Br2 Br 0.6667 0.3333 0.1900
O1 O 0.3333 0.6667 0.8820

=====

# PBE KSmSO, optimized geometry
# M_tot (μB per cell): 0.00
# Raw total energy (eV/atom): -5.88
# Calculated volume (Å³/f.u.): 118.15
data_KSmSO
_chemical_formula_sum 'K2 Sm2 S2 O2'
_space_group_name_H-M_alt 'P m c 21'
_space_group_IT_number 26
_cell_length_a 4.5383
_cell_length_b 8.0402
_cell_length_c 6.4761
_cell_angle_alpha 90.00
_cell_angle_beta 90.00
_cell_angle_gamma 90.00
loop_
_space_group_symop_operation_xyz
'x,y,z'
'-x,-y,z+1/2'
'-x,y,z'
'x,-y,z+1/2'
loop_
_atom_site_label
_atom_site_type_symbol
_atom_site_fract_x
_atom_site_fract_y
_atom_site_fract_z
K1 K 0.0000 0.1942 0.0000
Sm1 Sm 0.5000 0.3666 0.4327
S1 S 0.0000 0.1981 0.5150
O1 O 0.5000 0.4006 0.1006

=====

# PBE CoGe, optimized geometry
# M_tot (μB per cell): 0.78
# Raw total energy (eV/atom): -5.87
# Calculated volume (Å³/f.u.): 26.07
data_CoGe
_chemical_formula_sum 'Co3 Ge3'
_space_group_name_H-M_alt 'R -3 m'
_space_group_IT_number 166
_space_group_name_Hall '-R 3 2"'
_cell_length_a 2.8519
_cell_length_b 2.8519
_cell_length_c 11.1035
_cell_angle_alpha 90.00
_cell_angle_beta 90.00
_cell_angle_gamma 120.00
loop_
_atom_site_label
_atom_site_type_symbol
_atom_site_fract_x
_atom_site_fract_y
_atom_site_fract_z
Co1 Co 0.0000 0.0000 0.0000
Ge1 Ge 0.0000 0.0000 0.5000

=====

# PBE Nb2SiGeIr2, optimized geometry
# M_tot (μB per cell): 0.01
# Raw total energy (eV/atom): -8.64
# Calculated volume (Å³/f.u.): 107.41
data_Nb2SiGeIr2
_chemical_formula_sum 'Nb8 Si4 Ge4 Ir8'
_space_group_name_H-M_alt 'P 1 m 1'
_space_group_IT_number 6
_cell_length_a 10.3728
_cell_length_b 4.2338
_cell_length_c 10.3757
_cell_angle_alpha 90.00
_cell_angle_beta 109.46
_cell_angle_gamma 90.00
loop_
_space_group_symop_operation_xyz
'x,y,z'
'x,-y,z'
loop_
_atom_site_label
_atom_site_type_symbol
_atom_site_fract_x
_atom_site_fract_y
_atom_site_fract_z
Nb1 Nb 0.0000 0.0000 0.0000
Nb2 Nb 0.1216 0.5000 0.3745
Nb3 Nb 0.2468 0.0000 0.7484
Nb4 Nb 0.3752 0.5000 0.1274
Nb5 Nb 0.4983 0.0000 0.5006
Nb6 Nb 0.6240 0.5000 0.8733
Nb7 Nb 0.7482 0.0000 0.2504
Nb8 Nb 0.8725 0.5000 0.6240
Si1 Si 0.2489 0.0000 0.2511
Si2 Si 0.6235 0.5000 0.3760
Si3 Si 0.7488 0.0000 0.7490
Si4 Si 0.9968 0.0000 0.4993
Ge1 Ge 0.1232 0.5000 0.8750
Ge2 Ge 0.3726 0.5000 0.6237
Ge3 Ge 0.4990 0.0000 0.0006
Ge4 Ge 0.8738 0.5000 0.1248
Ir1 Ir 0.1279 0.5000 0.1285
Ir2 Ir 0.2436 0.0000 0.4962
Ir3 Ir 0.3730 0.5000 0.8745
Ir4 Ir 0.4996 0.0000 0.2550
Ir5 Ir 0.6259 0.5000 0.6244
Ir6 Ir 0.7496 0.0000 0.9958
Ir7 Ir 0.8714 0.5000 0.3768
Ir8 Ir 0.9952 0.0000 0.7467

=====

# PBE MgBeZn2, optimized geometry
# Raw total energy (eV/atom): -1.76
# Calculated volume (Å³/f.u.): 56.32
data_MgBeZn2
_chemical_formula_sum 'Mg4 Be4 Zn8'
_space_group_name_H-M_alt 'F -4 3 m'
_space_group_IT_number 216
_space_group_name_Hall 'F -4 2 3'
_cell_length_a 6.0849
_cell_length_b 6.0849
_cell_length_c 6.0849
_cell_angle_alpha 90.00
_cell_angle_beta 90.00
_cell_angle_gamma 90.00
loop_
_atom_site_label
_atom_site_type_symbol
_atom_site_fract_x
_atom_site_fract_y
_atom_site_fract_z
Mg1 Mg 0.0000 0.0000 0.0000
Be1 Be 0.2500 0.2500 0.7500
Zn1 Zn 0.0000 0.0000 0.5000
Zn2 Zn 0.2500 0.2500 0.2500

=====

# PBE ZrUCu, optimized geometry
# M_tot (μB per cell): 4.09
# Raw total energy (eV/atom): -6.76
# Calculated volume (Å³/f.u.): 64.92
data_ZrUCu
_chemical_formula_sum 'Zr4 U4 Cu4'
_space_group_name_H-M_alt 'F -4 3 m'
_space_group_IT_number 216
_space_group_name_Hall 'F -4 2 3'
_cell_length_a 6.3798
_cell_length_b 6.3798
_cell_length_c 6.3798
_cell_angle_alpha 90.00
_cell_angle_beta 90.00
_cell_angle_gamma 90.00
loop_
_atom_site_label
_atom_site_type_symbol
_atom_site_fract_x
_atom_site_fract_y
_atom_site_fract_z
Zr1 Zr 0.0000 0.0000 0.0000
U1 U 0.2500 0.2500 0.7500
Cu1 Cu 0.0000 0.0000 0.5000

=====

# PBE Y2CuAgSn2, optimized geometry
# M_tot (μB per cell): 0.01
# Raw total energy (eV/atom): -5.15
# Calculated volume (Å³/f.u.): 145.08
data_Y2CuAgSn2
_chemical_formula_sum 'Y8 Cu4 Ag4 Sn8'
_space_group_name_H-M_alt 'P 1 m 1'
_space_group_IT_number 6
_cell_length_a 8.1184
_cell_length_b 4.6746
_cell_length_c 15.5194
_cell_angle_alpha 90.00
_cell_angle_beta 99.82
_cell_angle_gamma 90.00
loop_
_space_group_symop_operation_xyz
'x,y,z'
'x,-y,z'
loop_
_atom_site_label
_atom_site_type_symbol
_atom_site_fract_x
_atom_site_fract_y
_atom_site_fract_z
Y1 Y 0.0000 0.0000 0.0000
Y2 Y 0.0057 0.5000 0.4942
Y3 Y 0.2395 0.0000 0.7399
Y4 Y 0.2475 0.5000 0.2440
Y5 Y 0.4867 0.0000 0.4881
Y6 Y 0.4996 0.5000 0.9999
Y7 Y 0.7452 0.0000 0.2402
Y8 Y 0.7555 0.5000 0.7419
Cu1 Cu 0.0611 0.5000 0.6792
Cu2 Cu 0.0616 0.0000 0.1842
Cu3 Cu 0.3083 0.5000 0.4287
Cu4 Cu 0.5594 0.5000 0.1837
Ag1 Ag 0.3097 0.0000 0.9312
Ag2 Ag 0.5589 0.0000 0.6787
Ag3 Ag 0.8094 0.0000 0.4299
Ag4 Ag 0.8112 0.5000 0.9323
Sn1 Sn 0.1224 0.5000 0.8651
Sn2 Sn 0.1257 0.0000 0.3659
Sn3 Sn 0.3660 0.5000 0.6144
Sn4 Sn 0.3730 0.0000 0.1236
Sn5 Sn 0.6150 0.5000 0.3656
Sn6 Sn 0.6223 0.0000 0.8685
Sn7 Sn 0.8752 0.5000 0.1241
Sn8 Sn 0.8784 0.0000 0.6185

=====

# PBE Li2In2Hg2PdPt, optimized geometry
# M_tot (μB per cell): 0.00
# Raw total energy (eV/atom): -3.04
# Calculated volume (Å³/f.u.): 143.95
data_Li2In2Hg2PdPt
_chemical_formula_sum 'Li2 In2 Hg2 Pd1 Pt1'
_space_group_name_H-M_alt 'P -4 m 2'
_space_group_IT_number 115
_cell_length_a 4.6694
_cell_length_b 4.6694
_cell_length_c 6.6021
_cell_angle_alpha 90.00
_cell_angle_beta 90.00
_cell_angle_gamma 90.00
loop_
_space_group_symop_operation_xyz
'x,y,z'
'y,-x,-z'
'-x,-y,z'
'-y,x,-z'
'-x,y,z'
'-y,-x,-z'
'x,-y,z'
'y,x,-z'
loop_
_atom_site_label
_atom_site_type_symbol
_atom_site_fract_x
_atom_site_fract_y
_atom_site_fract_z
Li1 Li 0.0000 0.0000 0.0000
Li2 Li 0.5000 0.5000 0.5000
In1 In 0.0000 0.5000 0.2504
Hg1 Hg 0.0000 0.5000 0.7488
Pd1 Pd 0.0000 0.0000 0.5000
Pt1 Pt 0.5000 0.5000 0.0000

=====

# PBE Mg3CdN, optimized geometry
# Raw total energy (eV/atom): -3.11
# Calculated volume (Å³/f.u.): 81.56
data_Mg3CdN
_chemical_formula_sum 'Mg3 Cd1 N1'
_space_group_name_H-M_alt 'P m -3 m'
_space_group_IT_number 221
_space_group_name_Hall '-P 4 2 3'
_cell_length_a 4.3366
_cell_length_b 4.3366
_cell_length_c 4.3366
_cell_angle_alpha 90.00
_cell_angle_beta 90.00
_cell_angle_gamma 90.00
loop_
_atom_site_label
_atom_site_type_symbol
_atom_site_fract_x
_atom_site_fract_y
_atom_site_fract_z
Mg1 Mg 0.0000 0.0000 0.5000
Cd1 Cd 0.5000 0.5000 0.5000
N1 N 0.0000 0.0000 0.0000

=====

# PBE TbYZn2As2O2, optimized geometry
# M_tot (μB per cell): 0.00
# Raw total energy (eV/atom): -5.92
# Calculated volume (Å³/f.u.): 139.48
data_TbYZn2As2O2
_chemical_formula_sum 'Tb1 Y1 Zn2 As2 O2'
_space_group_name_H-M_alt 'P 4 m m'
_space_group_IT_number 99
_cell_length_a 3.9576
_cell_length_b 3.9576
_cell_length_c 8.9055
_cell_angle_alpha 90.00
_cell_angle_beta 90.00
_cell_angle_gamma 90.00
loop_
_space_group_symop_operation_xyz
'x,y,z'
'-y,x,z'
'-x,-y,z'
'y,-x,z'
'-x,y,z'
'y,x,z'
'x,-y,z'
'-y,-x,z'
loop_
_atom_site_label
_atom_site_type_symbol
_atom_site_fract_x
_atom_site_fract_y
_atom_site_fract_z
Tb1 Tb 0.0000 0.0000 0.0000
Y1 Y 0.5000 0.5000 0.2466
Zn1 Zn 0.0000 0.5000 0.6235
As1 As 0.0000 0.0000 0.4405
As2 As 0.5000 0.5000 0.8061
O1 O 0.0000 0.5000 0.1236

=====

# PBE CsTePtAuS2, optimized geometry
# M_tot (μB per cell): 0.02
# Raw total energy (eV/atom): -3.97
# Calculated volume (Å³/f.u.): 174.92
data_CsTePtAuS2
_chemical_formula_sum 'Cs4 Te4 Pt4 Au4 S8'
_space_group_name_H-M_alt 'C m c m'
_space_group_IT_number 63
_space_group_name_Hall '-C 2c 2'
_cell_length_a 3.6479
_cell_length_b 17.6592
_cell_length_c 10.8614
_cell_angle_alpha 90.00
_cell_angle_beta 90.00
_cell_angle_gamma 90.00
loop_
_atom_site_label
_atom_site_type_symbol
_atom_site_fract_x
_atom_site_fract_y
_atom_site_fract_z
Cs1 Cs 0.0000 0.2395 0.2500
Te1 Te 0.0000 0.4455 0.7500
Pt1 Pt 0.0000 0.5000 0.0000
Au1 Au 0.0000 0.0913 0.7500
S1 S 0.0000 0.0878 0.5331

=====

# PBE Rb3Tb2B3, optimized geometry
# M_tot (μB per cell): 0.29
# Raw total energy (eV/atom): -2.86
# Calculated volume (Å³/f.u.): 247.69
data_Rb3Tb2B3
_chemical_formula_sum 'Rb9 Tb6 B9'
_space_group_name_H-M_alt 'R -3 m'
_space_group_IT_number 166
_space_group_name_Hall '-R 3 2"'
_cell_length_a 6.3881
_cell_length_b 6.3881
_cell_length_c 21.0263
_cell_angle_alpha 90.00
_cell_angle_beta 90.00
_cell_angle_gamma 120.00
loop_
_atom_site_label
_atom_site_type_symbol
_atom_site_fract_x
_atom_site_fract_y
_atom_site_fract_z
Rb1 Rb 0.0000 0.5000 0.0000
Tb1 Tb 0.0000 0.0000 0.1510
B1 B 0.0000 0.0000 0.0368
B2 B 0.0000 0.0000 0.5000

=====

# PBE Hf2Cu2Pb3, optimized geometry
# M_tot (μB per cell): 0.03
# Raw total energy (eV/atom): -5.01
# Calculated volume (Å³/f.u.): 162.86
data_Hf2Cu2Pb3
_chemical_formula_sum 'Hf6 Cu6 Pb9'
_space_group_name_H-M_alt 'R 3 m'
_space_group_IT_number 160
_space_group_name_Hall 'R 3 -2"'
_cell_length_a 4.6306
_cell_length_b 4.6306
_cell_length_c 26.3109
_cell_angle_alpha 90.00
_cell_angle_beta 90.00
_cell_angle_gamma 120.00
loop_
_atom_site_label
_atom_site_type_symbol
_atom_site_fract_x
_atom_site_fract_y
_atom_site_fract_z
Hf1 Hf 0.0000 0.0000 0.0000
Hf2 Hf 0.0000 0.0000 0.4947
Cu1 Cu 0.0000 0.0000 0.2297
Cu2 Cu 0.0000 0.0000 0.7502
Pb1 Pb 0.0000 0.0000 0.3881
Pb2 Pb 0.0000 0.0000 0.6184
Pb3 Pb 0.0000 0.0000 0.8622

=====

# PBE Tl2FeSn, optimized geometry
# M_tot (μB per cell): 11.07
# Raw total energy (eV/atom): -3.68
# Calculated volume (Å³/f.u.): 92.37
data_Tl2FeSn
_chemical_formula_sum 'Tl8 Fe4 Sn4'
_space_group_name_H-M_alt 'F -4 3 m'
_space_group_IT_number 216
_space_group_name_Hall 'F -4 2 3'
_cell_length_a 7.1758
_cell_length_b 7.1758
_cell_length_c 7.1758
_cell_angle_alpha 90.00
_cell_angle_beta 90.00
_cell_angle_gamma 90.00
loop_
_atom_site_label
_atom_site_type_symbol
_atom_site_fract_x
_atom_site_fract_y
_atom_site_fract_z
Tl1 Tl 0.0000 0.0000 0.0000
Tl2 Tl 0.2500 0.2500 0.2500
Fe1 Fe 0.2500 0.2500 0.7500
Sn1 Sn 0.0000 0.0000 0.5000

=====

# PBE HfBeSn2, optimized geometry
# M_tot (μB per cell): 0.01
# Raw total energy (eV/atom): -4.89
# Calculated volume (Å³/f.u.): 85.68
data_HfBeSn2
_chemical_formula_sum 'Hf4 Be4 Sn8'
_space_group_name_H-M_alt 'F -4 3 m'
_space_group_IT_number 216
_space_group_name_Hall 'F -4 2 3'
_cell_length_a 6.9982
_cell_length_b 6.9982
_cell_length_c 6.9982
_cell_angle_alpha 90.00
_cell_angle_beta 90.00
_cell_angle_gamma 90.00
loop_
_atom_site_label
_atom_site_type_symbol
_atom_site_fract_x
_atom_site_fract_y
_atom_site_fract_z
Hf1 Hf 0.0000 0.0000 0.0000
Be1 Be 0.2500 0.2500 0.7500
Sn1 Sn 0.0000 0.0000 0.5000
Sn2 Sn 0.2500 0.2500 0.2500

=====

# PBE PmPuBe, optimized geometry
# M_tot (μB per cell): 22.47
# Raw total energy (eV/atom): -6.72
# Calculated volume (Å³/f.u.): 76.71
data_PmPuBe
_chemical_formula_sum 'Pm4 Pu4 Be4'
_space_group_name_H-M_alt 'F -4 3 m'
_space_group_IT_number 216
_space_group_name_Hall 'F -4 2 3'
_cell_length_a 6.7449
_cell_length_b 6.7449
_cell_length_c 6.7449
_cell_angle_alpha 90.00
_cell_angle_beta 90.00
_cell_angle_gamma 90.00
loop_
_atom_site_label
_atom_site_type_symbol
_atom_site_fract_x
_atom_site_fract_y
_atom_site_fract_z
Pm1 Pm 0.0000 0.0000 0.0000
Pu1 Pu 0.2500 0.2500 0.7500
Be1 Be 0.0000 0.0000 0.5000

=====

# PBE InFe2Br5, optimized geometry
# M_tot (μB per cell): 32.02
# Raw total energy (eV/atom): -3.71
# Calculated volume (Å³/f.u.): 201.34
data_InFe2Br5
_chemical_formula_sum 'In4 Fe8 Br20'
_space_group_name_H-M_alt 'I 4/m c m'
_space_group_IT_number 140
_space_group_name_Hall '-I 4 2c'
_cell_length_a 7.5624
_cell_length_b 7.5624
_cell_length_c 14.0825
_cell_angle_alpha 90.00
_cell_angle_beta 90.00
_cell_angle_gamma 90.00
loop_
_atom_site_label
_atom_site_type_symbol
_atom_site_fract_x
_atom_site_fract_y
_atom_site_fract_z
In1 In 0.0000 0.0000 0.2500
Fe1 Fe 0.1299 0.3701 0.0000
Br1 Br 0.0000 0.0000 0.0000
Br2 Br 0.1556 0.3444 0.3775

=====

# PBE Sr2GeIr, optimized geometry
# M_tot (μB per cell): 0.03
# Raw total energy (eV/atom): -4.21
# Calculated volume (Å³/f.u.): 91.89
data_Sr2GeIr
_chemical_formula_sum 'Sr8 Ge4 Ir4'
_space_group_name_H-M_alt 'F -4 3 m'
_space_group_IT_number 216
_space_group_name_Hall 'F -4 2 3'
_cell_length_a 7.1634
_cell_length_b 7.1634
_cell_length_c 7.1634
_cell_angle_alpha 90.00
_cell_angle_beta 90.00
_cell_angle_gamma 90.00
loop_
_atom_site_label
_atom_site_type_symbol
_atom_site_fract_x
_atom_site_fract_y
_atom_site_fract_z
Sr1 Sr 0.0000 0.0000 0.0000
Sr2 Sr 0.2500 0.2500 0.2500
Ge1 Ge 0.0000 0.0000 0.5000
Ir1 Ir 0.2500 0.2500 0.7500